Record 1
Density functional theory data (GGA-PBE) for an optimized crystal structure of Re5Rh3. Values from VASP.

Cell and atoms, written as Quantum ESPRESSO input:
```
&SYSTEM
  ibrav = 0, nat = 8, ntyp = 2
/
ATOMIC_SPECIES
Rh 102.91 Rh.upf
Re 186.21 Re.upf
ATOMIC_POSITIONS angstrom
Rh 5.167 1.634 0.205
Rh 2.625 0.993 0.979
Rh 0.910 2.976 0.205
Re -3.300 4.286 0.214
Re 0.119 0.293 0.214
Re 3.461 3.646 0.980
Re -0.724 4.964 0.980
Re -1.602 2.325 0.980
CELL_PARAMETERS angstrom
9.248 0.000 0.000
-7.576 5.304 0.000
0.402 1.276 2.377
```

The density of states at the Fermi level comes out at 5.14 states/eV per cell. Its energy of formation is -0.94 eV/f.u. Its energy is -10.654 eV/atom. The total magnetic moment is 0.00 μB/f.u.

***

Record 2
Density functional theory data (GGA-PBE) for an optimized crystal structure of ReRh8. Values from VASP.

Cell and atoms, written as Quantum ESPRESSO input:
```
&SYSTEM
  ibrav = 0, nat = 9, ntyp = 2
/
ATOMIC_SPECIES
Rh 102.91 Rh.upf
Re 186.21 Re.upf
ATOMIC_POSITIONS angstrom
Rh 3.843 1.905 1.905
Rh 1.921 1.905 3.866
Rh 1.921 0.000 1.874
Rh 3.843 3.866 3.866
Rh 3.843 0.000 3.897
Rh 3.843 3.897 0.000
Rh 1.921 1.874 0.000
Rh 1.921 3.866 1.905
Re 0.000 0.000 0.000
CELL_PARAMETERS angstrom
3.843 0.000 0.000
1.921 5.771 0.000
1.921 0.000 5.771
```

The density of states at the Fermi level comes out at 8.42 states/eV per cell. Its energy of formation is -0.72 eV/f.u. Its energy is -7.998 eV/atom. The total magnetic moment is 0.00 μB/f.u.

***

Record 3
Density functional theory data (GGA-PBE) for an optimized crystal structure of ReRh2. Values from VASP.

Cell and atoms, written as Quantum ESPRESSO input:
```
&SYSTEM
  ibrav = 0, nat = 3, ntyp = 2
/
ATOMIC_SPECIES
Rh 102.91 Rh.upf
Re 186.21 Re.upf
ATOMIC_POSITIONS angstrom
Rh 7.254 2.427 0.000
Rh 3.717 1.244 0.000
Re 0.000 0.000 0.000
CELL_PARAMETERS angstrom
6.099 0.001 0.000
4.872 3.670 0.000
-5.486 -1.835 1.934
```

The density of states at the Fermi level comes out at 2.45 states/eV per cell. Its energy of formation is -0.35 eV/f.u. Its energy is -9.168 eV/atom. The total magnetic moment is 0.00 μB/f.u.

***

Record 4
Density functional theory data (GGA-PBE) for an optimized crystal structure of ReRh3. Values from VASP.

Cell and atoms, written as Quantum ESPRESSO input:
```
&SYSTEM
  ibrav = 0, nat = 8, ntyp = 2
/
ATOMIC_SPECIES
Rh 102.91 Rh.upf
Re 186.21 Re.upf
ATOMIC_POSITIONS angstrom
Rh -2.306 3.543 0.924
Rh -0.319 1.990 4.914
Rh 0.972 2.402 2.557
Rh -1.016 3.955 -1.433
Rh -1.079 4.030 3.286
Rh -0.256 1.914 0.194
Re -1.550 1.483 2.584
Re 0.215 4.462 0.897
CELL_PARAMETERS angstrom
-1.539 4.130 -3.295
-2.612 -0.833 4.771
2.816 2.648 2.004
```

The density of states at the Fermi level comes out at 9.89 states/eV per cell. Its energy of formation is -0.31 eV/f.u. Its energy is -8.704 eV/atom. The total magnetic moment is 0.00 μB/f.u.

***

Record 5
Density functional theory data (GGA-PBE) for an optimized crystal structure of ReRh5. Values from VASP.

Cell and atoms, written as Quantum ESPRESSO input:
```
&SYSTEM
  ibrav = 0, nat = 6, ntyp = 2
/
ATOMIC_SPECIES
Rh 102.91 Rh.upf
Re 186.21 Re.upf
ATOMIC_POSITIONS angstrom
Rh 2.663 4.438 4.438
Rh 4.438 4.438 2.663
Rh 4.438 2.663 4.438
Rh 2.663 2.663 2.663
Rh 5.326 5.326 5.326
Re 0.000 0.000 0.000
CELL_PARAMETERS angstrom
0.000 3.550 3.550
3.550 0.000 3.550
3.550 3.550 0.000
```

The density of states at the Fermi level comes out at 8.17 states/eV per cell. Its energy of formation is 2.52 eV/f.u. Its energy is -7.781 eV/atom. The total magnetic moment is 0.00 μB/f.u.

***

Record 6
Density functional theory data (GGA-PBE) for an optimized crystal structure of Re3Rh. Values from VASP.

Cell and atoms, written as Quantum ESPRESSO input:
```
&SYSTEM
  ibrav = 0, nat = 8, ntyp = 2
/
ATOMIC_SPECIES
Re 186.21 Re.upf
Rh 102.91 Rh.upf
ATOMIC_POSITIONS angstrom
Re -0.695 2.980 1.422
Re -0.137 4.650 3.544
Re -2.214 0.773 5.412
Re -0.723 0.252 1.768
Re -0.773 -2.468 2.168
Re -0.254 -3.521 4.663
Rh -0.215 -0.793 4.289
Rh -0.176 1.923 3.918
CELL_PARAMETERS angstrom
-1.391 5.960 2.844
-1.547 -4.936 4.336
2.547 0.104 1.027
```

The density of states at the Fermi level comes out at 6.20 states/eV per cell. Its energy of formation is -0.06 eV/f.u. Its energy is -11.188 eV/atom. The total magnetic moment is 0.00 μB/f.u.

***

What did the third record say?
Density functional theory data (GGA-PBE) for an optimized crystal structure of ReRh2. Values from VASP.

Cell and atoms, written as Quantum ESPRESSO input:
```
&SYSTEM
  ibrav = 0, nat = 3, ntyp = 2
/
ATOMIC_SPECIES
Rh 102.91 Rh.upf
Re 186.21 Re.upf
ATOMIC_POSITIONS angstrom
Rh 7.254 2.427 0.000
Rh 3.717 1.244 0.000
Re 0.000 0.000 0.000
CELL_PARAMETERS angstrom
6.099 0.001 0.000
4.872 3.670 0.000
-5.486 -1.835 1.934
```

The density of states at the Fermi level comes out at 2.45 states/eV per cell. Its energy of formation is -0.35 eV/f.u. Its energy is -9.168 eV/atom. The total magnetic moment is 0.00 μB/f.u.